Here is a relaxed structure of UNb4Se8 from Alexandria. Energies are from PBE.

Lattice parameters (Å, degrees): 10.8335 10.8335 10.8335 90.00 90.00 90.00
Space group F-43m (No. 216)
Inequivalent atoms, fractional coordinates:
1 U 0.0000 0.0000 0.0000 [4 per cell]
2 Nb 0.1010 0.1010 0.3990 [16 per cell]
3 Se 0.1323 0.1323 0.6323 [16 per cell]
4 Se 0.1443 0.1443 0.1443 [16 per cell]

Its excess energy over the best structure of this formula in the dataset is 81.4 meV per atom. As for the density of states at the Fermi level: 70.80 states/eV per cell. The calculation puts the formation energy (no corrections) at -0.76 eV per atom. The total energy comes out at -6.87 eV per atom.

Here is a relaxed structure of Tl2HgHAu from Alexandria. Energies are from PBE.

Lattice parameters (Å, degrees): 5.8752 5.8752 3.5233 90.00 90.00 90.00
Space group P4/mmm (No. 123)
Inequivalent atoms, fractional coordinates:
1 Tl 0.0000 0.5000 0.0000 [2 per cell]
2 Hg 0.0000 0.0000 0.5000 [1 per cell]
3 H 0.5000 0.5000 0.5000 [1 per cell]
4 Au 0.5000 0.5000 0.0000 [1 per cell]

Its excess energy over the best structure of this formula in the dataset is 17.5 meV per atom. As for the density of states at the Fermi level: 2.64 states/eV per cell. The total energy comes out at -2.26 eV per atom.

Here is a relaxed structure of Rb3In2As4 from Alexandria. Energies are from PBE.

Lattice parameters (Å, degrees): 18.4495 4.4249 8.1134 90.00 114.40 90.00
Space group C2/m (No. 12)
Inequivalent atoms, fractional coordinates:
1 Rb 0.0000 0.0000 0.0000 [2 per cell]
2 Rb 0.1497 0.0000 0.7627 [4 per cell]
3 In 0.1679 0.5000 0.4087 [4 per cell]
4 As 0.0109 0.5000 0.3648 [4 per cell]
5 As 0.2041 0.0000 0.2558 [4 per cell]

As for the density of states at the Fermi level: 3.70 states/eV per cell. The energy of formation from the pure elements comes out at -382 meV/atom. The total energy comes out at -3.38 eV per atom.

Here is a relaxed structure of Hg2OsRh from Alexandria. Energies are from PBE.

Lattice parameters (Å, degrees): 2.8549 2.9133 17.4066 90.00 90.00 90.00
Space group Amm2 (No. 38)
Inequivalent atoms, fractional coordinates:
1 Hg 0.0000 0.0000 0.0000 [2 per cell]
2 Hg 0.5000 0.0000 0.1561 [2 per cell]
3 Os 0.5000 0.0000 0.3743 [2 per cell]
4 Rh 0.0000 0.0000 0.7804 [2 per cell]

Its excess energy over the best structure of this formula in the dataset is 0.0 meV per atom. As for the density of states at the Fermi level: 3.45 states/eV per cell. The energy of formation from the pure elements comes out at 338 meV/atom. The total energy comes out at -4.46 eV per atom.

Which of these has the lowest density of states at the Fermi level? Tl2HgHAu

Which of these has the highest total energy? Tl2HgHAu